# 1
A relaxed structure of ScP2PtO, computed with PBE.

CIF file:
```
data_ScP2PtO
_space_group_name_H-M_alt 'P 1'
_space_group_IT_number 1
_space_group_name_Hall 'P 1'
_cell_length_a 5.037
_cell_length_b 5.037
_cell_length_c 3.758
_cell_angle_alpha 90.00
_cell_angle_beta 90.00
_cell_angle_gamma 90.00
loop_
_atom_site_label
_atom_site_fract_x
_atom_site_fract_y
_atom_site_fract_z
_atom_site_occupancy
Sc1 0.000 0.000 0.000 1
P1 0.000 0.500 0.000 1
P2 0.500 0.000 0.000 1
Pt1 0.500 0.500 0.500 1
O1 0.000 0.000 0.500 1
```

Results
- Energy above the most stable polymorph in this dataset: 155 meV/atom
- ΔE_f (raw): 0.04 eV/atom
- Total moment: 0.0000 μB per atom

# 2
A relaxed structure of ScPPtO2, computed with PBE.

CIF file:
```
data_ScPPtO2
_space_group_name_H-M_alt 'P 1'
_space_group_IT_number 1
_space_group_name_Hall 'P 1'
_cell_length_a 3.787
_cell_length_b 3.787
_cell_length_c 7.334
_cell_angle_alpha 90.00
_cell_angle_beta 90.00
_cell_angle_gamma 90.00
loop_
_atom_site_label
_atom_site_fract_x
_atom_site_fract_y
_atom_site_fract_z
_atom_site_occupancy
Sc1 0.000 0.000 0.000 1
P1 0.000 0.000 0.500 1
Pt1 0.500 0.500 0.500 1
O1 0.000 0.500 0.000 1
O2 0.500 0.000 0.000 1
```

Results
- Energy above the most stable polymorph in this dataset: 0 meV/atom
- ΔE_f (raw): -0.69 eV/atom
- Total moment: 0.2190 μB per atom

> What is the energy above the most stable polymorph in this dataset in the first record?

155 meV/atom